HfScCu4 after structural relaxation, computed with PBE-GGA.

Calculated values
- total DFT energy (no corrections) (eV/cell) = -32.37
- energy of formation (eV/atom) = -0.20
- magnetic moment (μB/cell) = 0.19
- crystal system = tetragonal

```
HfScCu4
1.0
3.291 0.000 0.000
0.000 3.291 0.000
0.000 0.000 8.335
Hf Sc Cu
1 1 4
Direct
0.000 0.000 0.000
0.500 0.500 0.500
0.000 0.000 0.326
0.000 0.000 0.674
0.500 0.500 0.175
0.500 0.500 0.825
```

KHfTePdS2 after structural relaxation, computed with PBE-GGA.

Calculated values
- total DFT energy (no corrections) (eV/cell) = -67.59
- magnetic moment (μB/cell) = 0.00
- crystal system = monoclinic

```
KHfTePdS2
1.0
8.711 0.000 0.000
0.000 3.855 0.000
-3.883 0.000 9.487
K Hf Te Pd S
2 2 2 2 4
Direct
0.220 0.250 0.294
0.780 0.750 0.706
0.286 0.750 0.813
0.714 0.250 0.187
0.433 0.750 0.131
0.567 0.250 0.869
0.100 0.250 0.586
0.900 0.750 0.414
0.112 0.250 0.835
0.252 0.750 0.563
0.748 0.250 0.437
0.888 0.750 0.165
```

Number 1: mass density 8.8 Mg/m³. Number 2: mass density 5.4 Mg/m³.